Entry 1:
# SrAcHg2 | the Alexandria database | meta-GGA SCAN | single point on PBEsol structure
# - Formation energy from the elements: -0.7158 eV/atom
# - Crystal system: cubic
# - Density: 9.74 g/cm3
data_SrAcHg2
_chemical_formula_sum 'Sr4 Ac4 Hg8'
_symmetry_space_group_name_H-M 'F m -3 m'
_symmetry_Int_Tables_number 225
_symmetry_space_group_name_Hall '-F 4 2 3'
_cell_length_a 7.8741
_cell_length_b 7.8741
_cell_length_c 7.8741
_cell_angle_alpha 90.00
_cell_angle_beta 90.00
_cell_angle_gamma 90.00
loop_
_atom_site_label
_atom_site_type_symbol
_atom_site_fract_x
_atom_site_fract_y
_atom_site_fract_z
Sr1 Sr 0.0000 0.0000 0.0000
Ac1 Ac 0.0000 0.0000 0.5000
Hg1 Hg 0.2500 0.2500 0.2500

***

Entry 2:
# Tl2AsCl | the Alexandria database | meta-GGA SCAN | single point on PBEsol structure
# - Crystal system: tetragonal
# - Polymorph energy (0 for the lowest one): 0.00 eV/f.u.
# - Formation energy from raw total energies: -0.358 eV per atom
# - Density: 8.16 g/cm3
data_Tl2AsCl
_chemical_formula_sum 'Tl2 As1 Cl1'
_symmetry_space_group_name_H-M 'P 4/m m m'
_symmetry_Int_Tables_number 123
_symmetry_space_group_name_Hall '-P 4 2'
_cell_length_a 4.2173
_cell_length_b 4.2173
_cell_length_c 5.9430
_cell_angle_alpha 90.00
_cell_angle_beta 90.00
_cell_angle_gamma 90.00
loop_
_atom_site_label
_atom_site_type_symbol
_atom_site_fract_x
_atom_site_fract_y
_atom_site_fract_z
Tl1 Tl 0.0000 0.0000 0.0000
Tl2 Tl 0.5000 0.5000 0.5000
As1 As 0.0000 0.0000 0.5000
Cl1 Cl 0.5000 0.5000 0.0000

***

Entry 3:
# BeReAs2Br | the Alexandria database | meta-GGA SCAN | single point on PBEsol structure
# - Crystal system: tetragonal
# - Formation energy from raw total energies: 1.322 eV per atom
# - Density: 8.29 g/cm3
data_BeReAs2Br
_chemical_formula_sum 'Be1 Re1 As2 Br1'
_symmetry_space_group_name_H-M 'P 4/m m m'
_symmetry_Int_Tables_number 123
_symmetry_space_group_name_Hall '-P 4 2'
_cell_length_a 4.2937
_cell_length_b 4.2937
_cell_length_c 4.6153
_cell_angle_alpha 90.00
_cell_angle_beta 90.00
_cell_angle_gamma 90.00
loop_
_atom_site_label
_atom_site_type_symbol
_atom_site_fract_x
_atom_site_fract_y
_atom_site_fract_z
Be1 Be 0.0000 0.0000 0.0000
Re1 Re 0.5000 0.5000 0.5000
As1 As 0.0000 0.5000 0.0000
Br1 Br 0.0000 0.0000 0.5000

***

Entry 4:
# TbInPd | the Alexandria database | meta-GGA SCAN | single point on PBEsol structure
# - Formation energy from the elements: -0.9379 eV/atom
# - Crystal system: hexagonal
# - Density: 9.96 g/cm3
data_TbInPd
_chemical_formula_sum 'Tb3 In3 Pd3'
_symmetry_space_group_name_H-M 'P -6 2 m'
_symmetry_Int_Tables_number 189
_symmetry_space_group_name_Hall 'P -6 -2'
_cell_length_a 7.5538
_cell_length_b 7.5538
_cell_length_c 3.8468
_cell_angle_alpha 90.00
_cell_angle_beta 90.00
_cell_angle_gamma 120.00
loop_
_atom_site_label
_atom_site_type_symbol
_atom_site_fract_x
_atom_site_fract_y
_atom_site_fract_z
Tb1 Tb 0.0000 0.4093 0.0000
In1 In 0.0000 0.7423 0.5000
Pd1 Pd 0.0000 0.0000 0.0000
Pd2 Pd 0.3333 0.6667 0.5000

***

Entry 5:
# LaCo2As | the Alexandria database | meta-GGA SCAN | single point on PBEsol structure
# - Formation energy from the elements: -0.4884 eV/atom
# - Crystal system: trigonal
# - Density: 7.88 g/cm3
data_LaCo2As
_chemical_formula_sum 'La3 Co6 As3'
_symmetry_space_group_name_H-M 'R 3 m'
_symmetry_Int_Tables_number 160
_symmetry_space_group_name_Hall 'R 3 -2"'
_cell_length_a 3.9806
_cell_length_b 3.9806
_cell_length_c 15.2901
_cell_angle_alpha 90.00
_cell_angle_beta 90.00
_cell_angle_gamma 120.00
loop_
_atom_site_label
_atom_site_type_symbol
_atom_site_fract_x
_atom_site_fract_y
_atom_site_fract_z
La1 La 0.0000 0.0000 0.0000
Co1 Co 0.0000 0.0000 0.1991
Co2 Co 0.0000 0.0000 0.5148
As1 As 0.0000 0.0000 0.7999

***

Entry 6:
# LaRuSe2 | the Alexandria database | meta-GGA SCAN | single point on PBEsol structure
# - Crystal system: cubic
# - Polymorph energy (0 for the lowest one): 3.62 eV/f.u.
# - Formation energy from raw total energies: -0.132 eV per atom
# - Density: 8.17 g/cm3
data_LaRuSe2
_chemical_formula_sum 'La4 Ru4 Se8'
_symmetry_space_group_name_H-M 'F -4 3 m'
_symmetry_Int_Tables_number 216
_symmetry_space_group_name_Hall 'F -4 2 3'
_cell_length_a 6.8652
_cell_length_b 6.8652
_cell_length_c 6.8652
_cell_angle_alpha 90.00
_cell_angle_beta 90.00
_cell_angle_gamma 90.00
loop_
_atom_site_label
_atom_site_type_symbol
_atom_site_fract_x
_atom_site_fract_y
_atom_site_fract_z
La1 La 0.0000 0.0000 0.0000
Ru1 Ru 0.2500 0.2500 0.2500
Se1 Se 0.0000 0.0000 0.5000
Se2 Se 0.2500 0.2500 0.7500

***

Entry 7:
# ErIn2Sn | the Alexandria database | meta-GGA SCAN | single point on PBEsol structure
# - Formation energy from the elements: -0.4765 eV/atom
# - Crystal system: tetragonal
# - Density: 9.03 g/cm3
data_ErIn2Sn
_chemical_formula_sum 'Er1 In2 Sn1'
_symmetry_space_group_name_H-M 'P 4/m m m'
_symmetry_Int_Tables_number 123
_symmetry_space_group_name_Hall '-P 4 2'
_cell_length_a 4.4380
_cell_length_b 4.4380
_cell_length_c 4.8136
_cell_angle_alpha 90.00
_cell_angle_beta 90.00
_cell_angle_gamma 90.00
loop_
_atom_site_label
_atom_site_type_symbol
_atom_site_fract_x
_atom_site_fract_y
_atom_site_fract_z
Er1 Er 0.0000 0.0000 0.0000
In1 In 0.0000 0.5000 0.5000
Sn1 Sn 0.5000 0.5000 0.0000

***

Entry 8:
# DyYCu2 | the Alexandria database | meta-GGA SCAN | single point on PBEsol structure
# - Formation energy from the elements: -0.3013 eV/atom
# - Crystal system: cubic
# - Density: 7.92 g/cm3
data_DyYCu2
_chemical_formula_sum 'Dy4 Y4 Cu8'
_symmetry_space_group_name_H-M 'F m -3 m'
_symmetry_Int_Tables_number 225
_symmetry_space_group_name_Hall '-F 4 2 3'
_cell_length_a 6.8218
_cell_length_b 6.8218
_cell_length_c 6.8218
_cell_angle_alpha 90.00
_cell_angle_beta 90.00
_cell_angle_gamma 90.00
loop_
_atom_site_label
_atom_site_type_symbol
_atom_site_fract_x
_atom_site_fract_y
_atom_site_fract_z
Dy1 Dy 0.0000 0.0000 0.0000
Y1 Y 0.0000 0.0000 0.5000
Cu1 Cu 0.2500 0.2500 0.2500

***

Number 1: total DFT energy (no corrections) -251.95 eV per formula unit. Number 2: total DFT energy (no corrections) -174.32 eV per formula unit. Number 3: total DFT energy (no corrections) -128.68 eV per formula unit. Number 4: total DFT energy (no corrections) -115.74 eV per formula unit. Number 5: total DFT energy (no corrections) -99.86 eV per formula unit. Number 6: total DFT energy (no corrections) -118.61 eV per formula unit. Number 7: total DFT energy (no corrections) -154.94 eV per formula unit. Number 8: total DFT energy (no corrections) -107.24 eV per formula unit.